BaDyNO after structural relaxation, computed with PBE.

Results
VASP energy: -6.70 eV/atom

abc: 4.7795 4.7795 7.3008
angles: 90.00 90.00 90.00
Last column: nearest neighbours and their distance in Å.
Space group P4/nmm (No. 129, origin choice 2)
Symmetry-distinct sites (fractional):
Ba: 0.2500 0.7500 0.0000 [2 per cell]  4 N 2.65
Dy: 0.2500 0.2500 0.4410 [2 per cell]  1 N 2.07
N: 0.2500 0.2500 0.1572 [2 per cell]  1 Dy 2.07
O: 0.2500 0.7500 0.5000 [2 per cell]  4 Dy 2.43

BaDyNO after structural relaxation, computed with PBE.

Results
VASP energy: -6.87 eV/atom

abc: 3.8972 7.2130 6.2459
angles: 90.00 90.00 90.00
Last column: nearest neighbours and their distance in Å.
Space group Pmc2_1 (No. 26)
Symmetry-distinct sites (fractional):
Ba: 0.0000 0.1665 0.0000 [2 per cell]  2 O 2.61, 2 N 2.70-2.73
Dy: 0.5000 0.3467 0.5113 [2 per cell]  2 O 2.20-2.21, 2 N 2.26
N: 0.0000 0.2035 0.4343 [2 per cell]  2 Dy 2.26
O: 0.5000 0.3759 0.8615 [2 per cell]  2 Dy 2.20-2.21

BaDyNO after structural relaxation, computed with PBE.

Results
VASP energy: -6.54 eV/atom

abc: 4.7190 4.7190 8.3113
angles: 90.00 90.00 90.00
Last column: nearest neighbours and their distance in Å.
Space group P4/nmm (No. 129, origin choice 2)
Symmetry-distinct sites (fractional):
Ba: 0.2500 0.2500 0.1142 [2 per cell]  4 O 2.54
Dy: 0.2500 0.7500 0.5000 [2 per cell]  4 N 2.37
N: 0.2500 0.2500 0.4699 [2 per cell]  4 Dy 2.37
O: 0.2500 0.7500 0.0000 [2 per cell]  4 Ba 2.54

BaNaDyTe3 after structural relaxation, computed with PBE.

Results
VASP energy: -4.24 eV/atom

abc: 11.5925 4.6707 15.2205
angles: 90.00 90.00 90.00
Last column: nearest neighbours and their distance in Å.
Space group Pnma (No. 62)
Symmetry-distinct sites (fractional):
Ba: 0.2479 0.2500 0.0022 [4 per cell]  8 Te 3.48-3.88
Na: 0.2472 0.7500 0.2224 [4 per cell]  4 Te 2.88-2.92
Dy: 0.0032 0.7500 0.7495 [4 per cell]  6 Te 3.16-3.18
Te: 0.0412 0.7500 0.1128 [4 per cell]  1 Na 2.91, 2 Dy 3.18
Te: 0.0468 0.2500 0.6119 [4 per cell]  1 Na 2.92, 2 Dy 3.18
Te: 0.2471 0.2500 0.3330 [4 per cell]  2 Na 2.88, 2 Dy 3.16

BaNaDyTe3 after structural relaxation, computed with PBE.

Results
VASP energy: -4.24 eV/atom

abc: 4.6640 15.2138 11.5727
angles: 90.00 90.00 90.00
Last column: nearest neighbours and their distance in Å.
Space group Cmcm (No. 63)
Symmetry-distinct sites (fractional):
Ba: 0.0000 0.2480 0.2500 [4 per cell]  8 Te 3.47-3.82
Na: 0.0000 0.4722 0.7500 [4 per cell]  4 Te 2.88-2.91
Dy: 0.0000 0.0000 0.0000 [4 per cell]  6 Te 3.16-3.18
Te: 0.0000 0.0828 0.7500 [4 per cell]  2 Na 2.88, 2 Dy 3.16
Te: 0.0000 0.3622 0.5440 [8 per cell]  1 Na 2.91, 2 Dy 3.18

BaDyNp after structural relaxation, computed with PBE.

Results
VASP energy: -5.09 eV/atom

abc: 8.0750 8.0750 8.0750
angles: 90.00 90.00 90.00
Last column: nearest neighbours and their distance in Å.
Space group F-43m (No. 216)
Symmetry-distinct sites (fractional):
Ba: 0.0000 0.0000 0.0000 [4 per cell]  4 Dy 3.50
Dy: 0.2500 0.2500 0.2500 [4 per cell]  4 Np 3.50, 4 Ba 3.50
Np: 0.0000 0.0000 0.5000 [4 per cell]  4 Dy 3.50

VASP energy of number 5 (BaNaDyTe3)? -4.24 eV/atom

The lowest VASP energy belongs to which entry? number 2